Record 1
# Tm12Ag3Ru5, optimized geometry, DFT PBE
data_Tm12Ag3Ru5
_chemical_formula_sum 'Tm48 Ag12 Ru20'
_space_group_name_H-M_alt 'P 1'
_space_group_IT_number 1
_cell_length_a 14.269
_cell_length_b 14.269
_cell_length_c 14.269
_cell_angle_alpha 109.47
_cell_angle_beta 109.47
_cell_angle_gamma 109.47
loop_
_space_group_symop_operation_xyz
'x,y,z'
loop_
_atom_site_label
_atom_site_fract_x
_atom_site_fract_y
_atom_site_fract_z
Tm1 0.031 0.208 0.118
Tm2 0.031 0.323 0.913
Tm3 0.087 0.618 0.410
Tm4 0.087 0.969 0.677
Tm5 0.090 0.708 0.677
Tm6 0.090 0.882 0.413
Tm7 0.118 0.031 0.208
Tm8 0.118 0.587 0.910
Tm9 0.177 0.208 0.590
Tm10 0.177 0.469 0.587
Tm11 0.208 0.118 0.031
Tm12 0.208 0.590 0.177
Tm13 0.292 0.323 0.910
Tm14 0.292 0.469 0.382
Tm15 0.323 0.910 0.292
Tm16 0.323 0.913 0.031
Tm17 0.382 0.292 0.469
Tm18 0.382 0.590 0.913
Tm19 0.410 0.087 0.618
Tm20 0.410 0.823 0.792
Tm21 0.413 0.090 0.882
Tm22 0.413 0.823 0.531
Tm23 0.469 0.382 0.292
Tm24 0.469 0.587 0.177
Tm25 0.531 0.413 0.823
Tm26 0.531 0.618 0.708
Tm27 0.587 0.177 0.469
Tm28 0.587 0.910 0.118
Tm29 0.590 0.177 0.208
Tm30 0.590 0.913 0.382
Tm31 0.618 0.410 0.087
Tm32 0.618 0.708 0.531
Tm33 0.677 0.087 0.969
Tm34 0.677 0.090 0.708
Tm35 0.708 0.531 0.618
Tm36 0.708 0.677 0.090
Tm37 0.792 0.410 0.823
Tm38 0.792 0.882 0.969
Tm39 0.823 0.531 0.413
Tm40 0.823 0.792 0.410
Tm41 0.882 0.413 0.090
Tm42 0.882 0.969 0.792
Tm43 0.910 0.118 0.587
Tm44 0.910 0.292 0.323
Tm45 0.913 0.031 0.323
Tm46 0.913 0.382 0.590
Tm47 0.969 0.677 0.087
Tm48 0.969 0.792 0.882
Ag1 0.125 0.250 0.375
Ag2 0.125 0.375 0.750
Ag3 0.250 0.375 0.125
Ag4 0.250 0.875 0.625
Ag5 0.375 0.125 0.250
Ag6 0.375 0.750 0.125
Ag7 0.625 0.250 0.875
Ag8 0.625 0.875 0.750
Ag9 0.750 0.125 0.375
Ag10 0.750 0.625 0.875
Ag11 0.875 0.625 0.250
Ag12 0.875 0.750 0.625
Ru1 0.000 0.000 0.000
Ru2 0.000 0.000 0.500
Ru3 0.000 0.500 0.000
Ru4 0.000 0.500 0.500
Ru5 0.125 0.750 0.875
Ru6 0.125 0.875 0.250
Ru7 0.250 0.125 0.875
Ru8 0.250 0.625 0.375
Ru9 0.375 0.250 0.625
Ru10 0.375 0.625 0.750
Ru11 0.500 0.000 0.000
Ru12 0.500 0.000 0.500
Ru13 0.500 0.500 0.000
Ru14 0.500 0.500 0.500
Ru15 0.625 0.375 0.250
Ru16 0.625 0.750 0.375
Ru17 0.750 0.375 0.625
Ru18 0.750 0.875 0.125
Ru19 0.875 0.125 0.750
Ru20 0.875 0.250 0.125
# Uncorrected energy, eV/atom: -5.348
# Total moment, μB per formula unit: 0.00
# Formation energy from the elements, eV per atom: 0.081
# Density, g/cm3: 8.483
# SG: No. 230

***

Record 2
# Tm8AgRu2, optimized geometry, DFT PBE
data_Tm8AgRu2
_chemical_formula_sum 'Tm8 Ag1 Ru2'
_space_group_name_H-M_alt 'P 1'
_space_group_IT_number 1
_cell_length_a 7.613
_cell_length_b 7.613
_cell_length_c 5.500
_cell_angle_alpha 98.37
_cell_angle_beta 98.37
_cell_angle_gamma 111.65
loop_
_space_group_symop_operation_xyz
'x,y,z'
loop_
_atom_site_label
_atom_site_fract_x
_atom_site_fract_y
_atom_site_fract_z
Tm1 0.000 0.000 0.000
Tm2 0.048 0.311 0.605
Tm3 0.138 0.619 0.195
Tm4 0.311 0.048 0.605
Tm5 0.447 0.710 0.784
Tm6 0.619 0.138 0.195
Tm7 0.710 0.447 0.784
Tm8 0.758 0.758 0.389
Ag1 0.379 0.379 0.198
Ru1 0.066 0.692 0.695
Ru2 0.692 0.066 0.695
# Uncorrected energy, eV/atom: -5.430
# Total moment, μB per formula unit: 0.00
# Formation energy from the elements, eV per atom: -0.232
# Density, g/cm3: 9.642
# SG: No. 8

***

Record 3
# TmZnAgRu, optimized geometry, DFT PBE
data_TmZnAgRu
_chemical_formula_sum 'Tm1 Zn1 Ag1 Ru1'
_space_group_name_H-M_alt 'P 1'
_space_group_IT_number 1
_cell_length_a 4.641
_cell_length_b 4.641
_cell_length_c 4.641
_cell_angle_alpha 60.00
_cell_angle_beta 60.00
_cell_angle_gamma 60.00
loop_
_space_group_symop_operation_xyz
'x,y,z'
loop_
_atom_site_label
_atom_site_fract_x
_atom_site_fract_y
_atom_site_fract_z
Tm1 0.000 0.000 0.000
Zn1 0.500 0.500 0.500
Ag1 0.250 0.250 0.250
Ru1 0.750 0.750 0.750
# Uncorrected energy, eV/atom: -4.616
# Total moment, μB per formula unit: 0.00
# Formation energy from the elements, eV per atom: -0.148
# Density, g/cm3: 10.414
# SG: No. 216

***

Record 4
# TmZrAgRu, optimized geometry, DFT PBE
data_TmZrAgRu
_chemical_formula_sum 'Tm1 Zr1 Ag1 Ru1'
_space_group_name_H-M_alt 'P 1'
_space_group_IT_number 1
_cell_length_a 4.821
_cell_length_b 4.821
_cell_length_c 4.821
_cell_angle_alpha 60.00
_cell_angle_beta 60.00
_cell_angle_gamma 60.00
loop_
_space_group_symop_operation_xyz
'x,y,z'
loop_
_atom_site_label
_atom_site_fract_x
_atom_site_fract_y
_atom_site_fract_z
Tm1 0.000 0.000 0.000
Zr1 0.500 0.500 0.500
Ag1 0.750 0.750 0.750
Ru1 0.250 0.250 0.250
# Uncorrected energy, eV/atom: -6.592
# Total moment, μB per formula unit: 0.00
# Formation energy from the elements, eV per atom: -0.305
# Density, g/cm3: 9.831
# SG: No. 216

***

Record 5
# UAgRu, optimized geometry, DFT PBE
data_UAgRu
_chemical_formula_sum 'U2 Ag2 Ru2'
_space_group_name_H-M_alt 'P 1'
_space_group_IT_number 1
_cell_length_a 2.891
_cell_length_b 2.891
_cell_length_c 14.858
_cell_angle_alpha 90.63
_cell_angle_beta 90.63
_cell_angle_gamma 61.29
loop_
_space_group_symop_operation_xyz
'x,y,z'
loop_
_atom_site_label
_atom_site_fract_x
_atom_site_fract_y
_atom_site_fract_z
U1 0.026 0.026 0.228
U2 0.974 0.974 0.772
Ag1 0.335 0.335 0.583
Ag2 0.665 0.665 0.417
Ru1 0.175 0.175 0.923
Ru2 0.825 0.825 0.077
# Uncorrected energy, eV/atom: -7.647
# Total moment, μB per formula unit: 0.00
# Formation energy from the elements, eV per atom: 0.158
# Density, g/cm3: 13.630
# SG: No. 12

***

Record 6
# VAg3Ru, optimized geometry, DFT PBE
data_VAg3Ru
_chemical_formula_sum 'V1 Ag3 Ru1'
_space_group_name_H-M_alt 'P 1'
_space_group_IT_number 1
_cell_length_a 5.000
_cell_length_b 5.000
_cell_length_c 5.000
_cell_angle_alpha 90.00
_cell_angle_beta 90.00
_cell_angle_gamma 90.00
loop_
_space_group_symop_operation_xyz
'x,y,z'
loop_
_atom_site_label
_atom_site_fract_x
_atom_site_fract_y
_atom_site_fract_z
V1 0.000 0.000 0.000
Ag1 0.000 0.500 0.500
Ag2 0.500 0.000 0.500
Ag3 0.500 0.500 0.000
Ru1 0.500 0.500 0.500
# Uncorrected energy, eV/atom: -3.779
# Total moment, μB per formula unit: 5.68
# Formation energy from the elements, eV per atom: 1.611
# Density, g/cm3: 6.320
# SG: No. 221

***

Record 7
# V3AgRu, optimized geometry, DFT PBE
data_V3AgRu
_chemical_formula_sum 'V3 Ag1 Ru1'
_space_group_name_H-M_alt 'P 1'
_space_group_IT_number 1
_cell_length_a 4.538
_cell_length_b 4.538
_cell_length_c 4.538
_cell_angle_alpha 90.00
_cell_angle_beta 90.00
_cell_angle_gamma 90.00
loop_
_space_group_symop_operation_xyz
'x,y,z'
loop_
_atom_site_label
_atom_site_fract_x
_atom_site_fract_y
_atom_site_fract_z
V1 0.000 0.000 0.500
V2 0.000 0.500 0.000
V3 0.500 0.000 0.000
Ag1 0.500 0.500 0.500
Ru1 0.000 0.000 0.000
# Uncorrected energy, eV/atom: -6.871
# Total moment, μB per formula unit: 0.00
# Formation energy from the elements, eV per atom: 1.026
# Density, g/cm3: 6.429
# SG: No. 221

***

Record 8
# VAg3Ru, optimized geometry, DFT PBE
data_VAg3Ru
_chemical_formula_sum 'V1 Ag3 Ru1'
_space_group_name_H-M_alt 'P 1'
_space_group_IT_number 1
_cell_length_a 4.813
_cell_length_b 4.813
_cell_length_c 4.813
_cell_angle_alpha 90.00
_cell_angle_beta 90.00
_cell_angle_gamma 90.00
loop_
_space_group_symop_operation_xyz
'x,y,z'
loop_
_atom_site_label
_atom_site_fract_x
_atom_site_fract_y
_atom_site_fract_z
V1 0.000 0.000 0.000
Ag1 0.000 0.000 0.500
Ag2 0.000 0.500 0.000
Ag3 0.500 0.000 0.000
Ru1 0.500 0.500 0.500
# Uncorrected energy, eV/atom: -3.636
# Total moment, μB per formula unit: 4.80
# Formation energy from the elements, eV per atom: 1.754
# Density, g/cm3: 7.085
# SG: No. 221

***

Record 9
# VAgRu2, optimized geometry, DFT PBE
data_VAgRu2
_chemical_formula_sum 'V1 Ag1 Ru2'
_space_group_name_H-M_alt 'P 1'
_space_group_IT_number 1
_cell_length_a 4.361
_cell_length_b 4.361
_cell_length_c 4.361
_cell_angle_alpha 60.00
_cell_angle_beta 60.00
_cell_angle_gamma 60.00
loop_
_space_group_symop_operation_xyz
'x,y,z'
loop_
_atom_site_label
_atom_site_fract_x
_atom_site_fract_y
_atom_site_fract_z
V1 0.000 0.000 0.000
Ag1 0.500 0.500 0.500
Ru1 0.250 0.250 0.250
Ru2 0.750 0.750 0.750
# Uncorrected energy, eV/atom: -7.317
# Total moment, μB per formula unit: 0.00
# Formation energy from the elements, eV per atom: 0.313
# Density, g/cm3: 10.223
# SG: No. 225

***

Record 10
# VAgRu, optimized geometry, DFT PBE
data_VAgRu
_chemical_formula_sum 'V2 Ag2 Ru2'
_space_group_name_H-M_alt 'P 1'
_space_group_IT_number 1
_cell_length_a 4.453
_cell_length_b 4.453
_cell_length_c 7.852
_cell_angle_alpha 94.58
_cell_angle_beta 94.58
_cell_angle_gamma 37.57
loop_
_space_group_symop_operation_xyz
'x,y,z'
loop_
_atom_site_label
_atom_site_fract_x
_atom_site_fract_y
_atom_site_fract_z
V1 0.118 0.118 0.417
V2 0.882 0.882 0.583
Ag1 0.356 0.356 0.905
Ag2 0.644 0.644 0.095
Ru1 0.384 0.384 0.308
Ru2 0.616 0.616 0.692
# Uncorrected energy, eV/atom: -6.937
# Total moment, μB per formula unit: 0.00
# Formation energy from the elements, eV per atom: 0.145
# Density, g/cm3: 9.124
# SG: No. 12

***

Record 11
# VAgRu2, optimized geometry, DFT PBE
data_VAgRu2
_chemical_formula_sum 'V2 Ag2 Ru4'
_space_group_name_H-M_alt 'P 1'
_space_group_IT_number 1
_cell_length_a 9.257
_cell_length_b 9.257
_cell_length_c 9.257
_cell_angle_alpha 155.90
_cell_angle_beta 155.90
_cell_angle_gamma 34.35
loop_
_space_group_symop_operation_xyz
'x,y,z'
loop_
_atom_site_label
_atom_site_fract_x
_atom_site_fract_y
_atom_site_fract_z
V1 0.000 0.000 0.000
V2 0.750 0.250 0.500
Ag1 0.250 0.750 0.500
Ag2 0.500 0.500 0.000
Ru1 0.074 0.625 0.949
Ru2 0.375 0.324 0.449
Ru3 0.676 0.125 0.051
Ru4 0.875 0.926 0.551
# Uncorrected energy, eV/atom: -6.851
# Total moment, μB per formula unit: 0.64
# Formation energy from the elements, eV per atom: 0.779
# Density, g/cm3: 9.068
# SG: No. 122

***

Record 12
# AgRuW2, optimized geometry, DFT PBE
data_AgRuW2
_chemical_formula_sum 'Ag2 Ru2 W4'
_space_group_name_H-M_alt 'P 1'
_space_group_IT_number 1
_cell_length_a 5.792
_cell_length_b 5.792
_cell_length_c 5.792
_cell_angle_alpha 102.30
_cell_angle_beta 102.30
_cell_angle_gamma 125.03
loop_
_space_group_symop_operation_xyz
'x,y,z'
loop_
_atom_site_label
_atom_site_fract_x
_atom_site_fract_y
_atom_site_fract_z
Ag1 0.000 0.000 0.000
Ag2 0.750 0.250 0.500
Ru1 0.250 0.750 0.500
Ru2 0.500 0.500 0.000
W1 0.165 0.625 0.040
W2 0.375 0.415 0.540
W3 0.585 0.125 0.960
W4 0.875 0.835 0.460
# Uncorrected energy, eV/atom: -8.534
# Total moment, μB per formula unit: 0.00
# Formation energy from the elements, eV per atom: 0.974
# Density, g/cm3: 13.565
# SG: No. 122

***

Look up the total moment of the first one. 0.00 μB per formula unit